Entry 1:
Here is an optimized crystal structure of Tl2AgSn2 from Alexandria via LeMat-Bulk. Energies are from GGA-PBE. Values from VASP.

Output
Size of the total moment in μB/cell: 0.00
Volume in Å³/cell: 283.8
Distance to the lowest polymorph of the same formula in eV/atom: 0.192
Theoretical density in g cm⁻³: 8.82

Geometry as Quantum ESPRESSO input:
```
&SYSTEM
  ibrav = 0, nat = 10, ntyp = 3
/
ATOMIC_SPECIES
Tl 204.38 Tl.upf
Ag 107.87 Ag.upf
Sn 118.71 Sn.upf
ATOMIC_POSITIONS angstrom
Tl 1.2061 2.6624 0.0000
Tl 2.6624 6.5308 0.0000
Tl 5.0745 1.2061 0.0000
Tl 6.5308 5.0745 0.0000
Ag 0.0000 0.0000 0.0000
Ag 3.8684 3.8684 0.0000
Sn 1.1427 5.0111 2.3708
Sn 2.7258 1.1427 2.3708
Sn 5.0111 6.5942 2.3708
Sn 6.5942 2.7258 2.3708
CELL_PARAMETERS angstrom
7.7369 0.0000 0.0000
0.0000 7.7369 0.0000
0.0000 0.0000 4.7416
```



Entry 2:
Here is an optimized crystal structure of CsTl2Cu2I7 from Alexandria via LeMat-Bulk. Energies are from GGA-PBE. Values from VASP.

Output
Size of the total moment in μB/cell: 1.28
E_form (uncorrected) in eV per atom: -0.46
Volume in Å³/cell: 599.8
Theoretical density in g cm⁻³: 4.31

Geometry as Quantum ESPRESSO input:
```
&SYSTEM
  ibrav = 0, nat = 12, ntyp = 4
/
ATOMIC_SPECIES
Cs 132.91 Cs.upf
Tl 204.38 Tl.upf
Cu 63.55 Cu.upf
I 126.90 I.upf
ATOMIC_POSITIONS angstrom
Cs 0.0000 0.0000 0.0000
Tl 0.0000 0.0000 7.2325
Tl 0.0000 0.0000 30.1810
Cu 0.0000 0.0000 16.0000
Cu 0.0000 0.0000 21.4135
I -1.2760 -2.1520 15.4686
I -1.2257 -2.1810 21.9449
I -1.2257 2.1810 15.4686
I 0.0000 0.0000 18.7067
I -1.2760 2.1520 21.9449
I 2.5017 -0.0290 15.4686
I 2.5017 0.0290 21.9449
CELL_PARAMETERS angstrom
3.7260 2.1512 12.4712
-3.7260 2.1512 12.4712
0.0000 -4.3024 12.4712
```



Entry 3:
Here is an optimized crystal structure of BeTl2Ga from Alexandria via LeMat-Bulk. Energies are from GGA-PBE. Values from VASP.

Output
Size of the total moment in μB/cell: 0.00
Volume in Å³/cell: 190.9
Distance to the lowest polymorph of the same formula in eV/atom: 0.004
Theoretical density in g cm⁻³: 8.48

Geometry as Quantum ESPRESSO input:
```
&SYSTEM
  ibrav = 0, nat = 8, ntyp = 3
/
ATOMIC_SPECIES
Be 9.01 Be.upf
Tl 204.38 Tl.upf
Ga 69.72 Ga.upf
ATOMIC_POSITIONS angstrom
Be 0.0000 0.0000 0.0000
Be 0.0000 2.3734 4.2360
Tl 3.5601 1.0153 -2.1180
Tl 1.0153 1.1867 2.1180
Tl -1.1867 1.3581 6.3539
Tl 1.3581 1.1867 10.5899
Ga 2.3734 0.0000 4.2360
Ga 0.0000 0.0000 8.4719
CELL_PARAMETERS angstrom
-2.3734 2.3734 8.4719
2.3734 -2.3734 8.4719
2.3734 2.3734 -8.4719
```



Entry 4:
Here is an optimized crystal structure of CdBr3 from Alexandria via LeMat-Bulk. Energies are from GGA-PBE. Values from VASP.

Output
Size of the total moment in μB/cell: 0.00
E_form (uncorrected) in eV per atom: -0.12
Volume in Å³/cell: 250.8
Theoretical density in g cm⁻³: 4.66

Geometry as Quantum ESPRESSO input:
```
&SYSTEM
  ibrav = 0, nat = 8, ntyp = 2
/
ATOMIC_SPECIES
Cd 112.41 Cd.upf
Br 79.90 Br.upf
ATOMIC_POSITIONS angstrom
Cd 0.0000 0.0000 4.7863
Cd 0.0000 0.0000 23.7950
Br 2.0946 0.0000 0.0000
Br 2.0946 0.0000 7.1453
Br 0.0000 0.0000 10.3786
Br 0.0000 2.0946 0.0000
Br 0.0000 0.0000 18.2028
Br 0.0000 2.0946 7.1453
CELL_PARAMETERS angstrom
-2.0946 2.0946 14.2907
2.0946 -2.0946 14.2907
2.0946 2.0946 -14.2907
```



Entry 5:
Here is an optimized crystal structure of Mn2AuBr from Alexandria via LeMat-Bulk. Energies are from GGA-PBE. Values from VASP.

Output
Size of the total moment in μB/cell: 8.54
E_form (uncorrected) in eV per atom: 0.06
Volume in Å³/cell: 82.2
Distance to the lowest polymorph of the same formula in eV/atom: 0.000
Theoretical density in g cm⁻³: 7.81

Geometry as Quantum ESPRESSO input:
```
&SYSTEM
  ibrav = 0, nat = 4, ntyp = 3
/
ATOMIC_SPECIES
Mn 54.94 Mn.upf
Au 196.97 Au.upf
Br 79.90 Br.upf
ATOMIC_POSITIONS angstrom
Mn 0.0009 0.0000 1.4008
Mn 3.5344 0.0000 5.6991
Au 1.7739 1.6324 0.0000
Br -0.0063 1.6324 3.5499
CELL_PARAMETERS angstrom
3.5478 0.0000 0.0000
0.0000 3.2649 0.0000
-0.0125 0.0000 7.0999
```



Entry 6:
Here is an optimized crystal structure of Nb2CrOs from Alexandria via LeMat-Bulk. Energies are from GGA-PBE. Values from VASP.

Output
Size of the total moment in μB/cell: 3.09
Volume in Å³/cell: 137.7
Theoretical density in g cm⁻³: 10.32

Geometry as Quantum ESPRESSO input:
```
&SYSTEM
  ibrav = 0, nat = 8, ntyp = 3
/
ATOMIC_SPECIES
Nb 92.91 Nb.upf
Cr 52.00 Cr.upf
Os 190.23 Os.upf
ATOMIC_POSITIONS angstrom
Nb 2.8155 0.9360 -2.4430
Nb 0.9360 0.9385 2.4430
Nb -0.9385 0.9411 7.3289
Nb 0.9411 0.9385 12.2149
Cr 0.0000 0.0000 0.0000
Cr 0.0000 1.8770 4.8860
Os 1.8770 0.0000 4.8860
Os 0.0000 0.0000 9.7719
CELL_PARAMETERS angstrom
-1.8770 1.8770 9.7719
1.8770 -1.8770 9.7719
1.8770 1.8770 -9.7719
```



Entry 7:
Here is an optimized crystal structure of PrTlAg2 from Alexandria via LeMat-Bulk. Energies are from GGA-PBE. Values from VASP.

Output
Size of the total moment in μB/cell: 0.00
Volume in Å³/cell: 190.0
Distance to the lowest polymorph of the same formula in eV/atom: 0.000
Theoretical density in g cm⁻³: 9.81

Geometry as Quantum ESPRESSO input:
```
&SYSTEM
  ibrav = 0, nat = 8, ntyp = 3
/
ATOMIC_SPECIES
Pr 140.91 Pr.upf
Tl 204.38 Tl.upf
Ag 107.87 Ag.upf
ATOMIC_POSITIONS angstrom
Pr 1.2798 1.7666 1.0722
Pr 3.8395 5.2998 4.1800
Tl 1.2798 5.2998 1.1506
Tl 3.8395 1.7666 4.1016
Ag 1.2798 0.0256 3.6396
Ag 1.2798 3.5076 3.6396
Ag 3.8395 3.5587 1.6126
Ag 3.8395 7.0408 1.6126
CELL_PARAMETERS angstrom
5.1193 0.0000 0.0000
0.0000 7.0664 0.0000
0.0000 0.0000 5.2522
```



Entry 8:
Here is an optimized crystal structure of LiYTe2N from Alexandria via LeMat-Bulk. Energies are from GGA-PBE. Values from VASP.

Output
Size of the total moment in μB/cell: 1.64
E_form (uncorrected) in eV per atom: 0.09
Volume in Å³/cell: 109.2
Distance to the lowest polymorph of the same formula in eV/atom: 0.105
Theoretical density in g cm⁻³: 5.55

Geometry as Quantum ESPRESSO input:
```
&SYSTEM
  ibrav = 0, nat = 5, ntyp = 4
/
ATOMIC_SPECIES
Li 6.94 Li.upf
Y 88.91 Y.upf
Te 127.60 Te.upf
N 14.01 N.upf
ATOMIC_POSITIONS angstrom
Li 0.0000 0.0000 0.0000
Y 2.6433 2.6433 1.9545
Te 0.0000 2.6433 0.0000
Te 2.6433 0.0000 0.0000
N 0.0000 0.0000 1.9545
CELL_PARAMETERS angstrom
5.2867 0.0000 0.0000
0.0000 5.2867 0.0000
0.0000 0.0000 3.9089
```



Number 1: raw total energy -2.9021 eV/atom. Number 2: raw total energy -2.5105 eV/atom. Number 3: raw total energy -2.3357 eV/atom. Number 4: raw total energy -1.6046 eV/atom. Number 5: raw total energy -5.7579 eV/atom. Number 6: raw total energy -9.4475 eV/atom. Number 7: raw total energy -3.4629 eV/atom. Number 8: raw total energy -4.5119 eV/atom.